Density functional theory data (meta-GGA SCAN) for a PBEsol-optimized structure of KPIr2.

Geometry as extended XYZ:
```
8
Lattice="4.7513 0.0000 0.0000 0.0000 4.7513 0.0000 0.0000 0.0000 5.7302" Properties=species:S:1:pos:R:3 pbc="T T T"
K 0.0000 0.0000 0.0000
K 2.3757 2.3757 2.8651
P 0.0000 2.3757 1.4326
P 2.3757 0.0000 4.2977
Ir 0.0000 0.0000 2.8651
Ir 0.0000 2.3757 4.2977
Ir 2.3757 0.0000 1.4326
Ir 2.3757 2.3757 0.0000
```

Results
The energy of formation from the pure elements is 4.31 eV per formula unit. The space group is No. 119. The value obtained for the mass density is 11.669 g cm⁻³.


Density functional theory data (meta-GGA SCAN) for a PBEsol-optimized structure of Y2PPt.

Geometry as extended XYZ:
```
8
Lattice="4.1320 0.0000 0.0000 0.0000 3.8620 0.0000 0.0000 0.0000 10.4561" Properties=species:S:1:pos:R:3 pbc="T T T"
Y 0.0000 0.0000 0.0000
Y 0.0000 1.9310 5.2281
Y 2.0660 0.0000 2.9072
Y 2.0660 1.9310 8.1353
P 2.0660 0.0000 5.8153
P 2.0660 1.9310 0.5872
Pt 0.0000 0.0000 7.5652
Pt 0.0000 1.9310 2.3372
```

Results
The energy of formation from the pure elements is -6.19 eV per formula unit. The space group is No. 38. The value obtained for the mass density is 8.039 g cm⁻³.


Number 1: magnetic moment 0.0 μB/f.u.. Number 2: magnetic moment 0.0 μB/f.u..